P | DFT (GGA-PBE) results for SmHo2 after structural relaxation.

```
3
Lattice="-1.7141 2.9179 4.9397 1.7141 -2.9179 4.9397 1.7141 2.9179 -4.9397" Properties=species:S:1:pos:R:3 pbc="T T T"
Sm 0.0000 0.0000 0.0000
Ho 1.7141 0.0000 3.0850
Ho 0.0000 2.9179 1.8546
```

Results
SG: Immm, No. 71
magnetization: 0.00 μB per formula unit
crystal system: orthorhombic

Q | DFT (GGA-PBE) results for SmHo2 after structural relaxation.

```
3
Lattice="3.1070 -1.7945 0.0000 3.1070 1.7945 0.0000 -2.0901 0.0000 8.5825" Properties=species:S:1:pos:R:3 pbc="T T T"
Sm 0.0000 0.0000 0.0000
Ho -0.0161 0.0000 5.6990
Ho 4.1400 0.0000 2.8835
```

Results
SG: C2/m, No. 12
magnetization: 0.00 μB per formula unit
crystal system: monoclinic

Stability comparison, relative energies in eV/atom: P 0.207; Q 0.000

P | DFT (GGA-PBE) results for SmHo3 after structural relaxation.

```
4
Lattice="-2.5081 2.5081 5.0226 2.5081 -2.5081 5.0226 2.5081 2.5081 -5.0226" Properties=species:S:1:pos:R:3 pbc="T T T"
Sm 0.0000 0.0000 0.0000
Ho 2.5081 0.0000 2.5113
Ho 0.0000 0.0000 5.0226
Ho 0.0000 2.5081 2.5113
```

Results
SG: I4/mmm, No. 139
magnetization: 0.00 μB per formula unit
crystal system: tetragonal

Q | DFT (GGA-PBE) results for SmHo3 after structural relaxation.

```
4
Lattice="0.0000 4.0031 4.0031 4.0031 0.0000 4.0031 4.0031 4.0031 0.0000" Properties=species:S:1:pos:R:3 pbc="T T T"
Sm 0.0000 0.0000 0.0000
Ho 2.0016 2.0016 2.0016
Ho 4.0031 4.0031 4.0031
Ho 6.0047 6.0047 6.0047
```

Results
SG: Fm-3m, No. 225
magnetization: 0.00 μB per formula unit
crystal system: cubic

R | DFT (GGA-PBE) results for SmHo3 after structural relaxation.

```
4
Lattice="-1.8145 5.6536 3.1299 1.8145 -5.6536 3.1299 1.8145 5.6536 -3.1299" Properties=species:S:1:pos:R:3 pbc="T T T"
Sm 0.0000 0.0000 0.0000
Ho 1.8145 2.8406 -1.0362
Ho 0.0000 5.6536 0.0135
Ho 0.0000 2.8130 2.0936
```

Results
SG: Imm2, No. 44
magnetization: 0.00 μB per formula unit
crystal system: orthorhombic

Stability comparison, relative energies in eV/atom: P 0.006; Q 0.127; R 0.000

P | DFT (GGA-PBE) results for SmHo3 after structural relaxation.

```
4
Lattice="5.0181 0.0000 0.0000 0.0000 5.0181 0.0000 0.0000 0.0000 5.0181" Properties=species:S:1:pos:R:3 pbc="T T T"
Sm 0.0000 0.0000 0.0000
Ho 0.0000 2.5091 2.5091
Ho 2.5091 0.0000 2.5091
Ho 2.5091 2.5091 0.0000
```

Results
SG: Pm-3m, No. 221
magnetization: 0.00 μB per formula unit
crystal system: cubic

Q | DFT (GGA-PBE) results for SmHo3 after structural relaxation.

```
4
Lattice="3.6274 0.0000 0.0000 0.0000 5.6431 0.0000 0.0000 0.0000 6.2776" Properties=species:S:1:pos:R:3 pbc="T T T"
Sm 0.0000 0.0000 0.0000
Ho 0.0000 2.8216 4.1704
Ho 1.8137 0.0000 3.1282
Ho 1.8137 2.8216 1.0408
```

Results
SG: Pmm2, No. 25
magnetization: 0.00 μB per formula unit
crystal system: orthorhombic

Stability comparison, relative energies in eV/atom: P 0.008; Q 0.000

P | DFT (GGA-PBE) results for Sm5Ho7 after structural relaxation.

```
12
Lattice="9.2903 -1.7913 0.0000 9.2903 1.7913 0.0000 -6.1918 0.0000 11.5583" Properties=species:S:1:pos:R:3 pbc="T T T"
Sm 0.0000 0.0000 0.0000
Sm -0.0071 0.0000 5.7634
Sm 4.1286 0.0000 2.8794
Sm 8.2602 0.0000 8.6789
Sm 12.3958 0.0000 5.7949
Ho -4.1314 0.0000 8.6720
Ho 6.1902 0.0000 0.0259
Ho 2.0765 0.0000 8.6811
Ho 6.1944 0.0000 5.7791
Ho 10.3122 0.0000 2.8772
Ho 6.1985 0.0000 11.5323
Ho 16.5201 0.0000 2.8863
```

Results
SG: C2/m, No. 12
magnetization: 0.00 μB per formula unit
crystal system: monoclinic

Q | DFT (GGA-PBE) results for Sm5Ho7 after structural relaxation.

```
12
Lattice="4.8103 -2.8540 0.0000 4.8103 2.8540 0.0000 -3.4284 0.0000 14.3013" Properties=species:S:1:pos:R:3 pbc="T T T"
Sm 0.0000 0.0000 0.0000
Sm -0.1459 0.0000 6.2417
Sm 3.0122 0.0000 2.8596
Sm 3.1799 0.0000 11.4417
Sm 6.3380 0.0000 8.0595
Ho -0.2336 0.0000 3.0564
Ho -0.0277 0.0000 9.6141
Ho -0.1287 0.0000 13.1366
Ho 3.0961 0.0000 7.1506
Ho 6.3208 0.0000 1.1647
Ho 6.2198 0.0000 4.6872
Ho 6.4257 0.0000 11.2448
```

Results
SG: C2/m, No. 12
magnetization: 0.00 μB per formula unit
crystal system: monoclinic

Stability comparison, relative energies in eV/atom: P 0.000; Q 0.184

P | DFT (GGA-PBE) results for Sm2Ho7 after structural relaxation.

```
9
Lattice="9.6471 0.0000 0.0000 -4.8235 8.3546 0.0000 0.0000 0.0000 3.5545" Properties=species:S:1:pos:R:3 pbc="T T T"
Sm 0.0000 5.5697 0.0000
Sm 4.8235 2.7849 0.0000
Ho 0.0000 0.0000 1.7772
Ho -1.4678 2.5423 0.0000
Ho -3.1050 5.3781 1.7772
Ho 2.9356 0.0000 0.0000
Ho 1.7185 2.9766 1.7772
Ho 6.2100 0.0000 1.7772
Ho 3.3558 5.8124 0.0000
```

Results
SG: P-62m, No. 189
magnetization: 1.61 μB per formula unit
crystal system: hexagonal

Q | DFT (GGA-PBE) results for Sm2Ho7 after structural relaxation.

```
9
Lattice="6.1420 0.0000 0.0000 -3.0710 5.3191 0.0000 0.0000 0.0000 8.6776" Properties=species:S:1:pos:R:3 pbc="T T T"
Sm 0.0000 3.5461 0.0000
Sm 3.0710 1.7730 0.0000
Ho 0.0000 0.0000 0.0000
Ho -1.0219 1.7699 5.7679
Ho -2.0491 3.5492 2.9097
Ho 2.0438 0.0000 5.7679
Ho 1.0219 1.7699 2.9097
Ho 4.0982 0.0000 2.9097
Ho 2.0491 3.5492 5.7679
```

Results
SG: P-31m, No. 162
magnetization: 0.00 μB per formula unit
crystal system: trigonal

Stability comparison, relative energies in eV/atom: P 0.023; Q 0.000

P | DFT (GGA-PBE) results for SmHo after structural relaxation.

```
4
Lattice="6.2408 -2.9456 0.0000 6.2408 2.9456 0.0000 -1.1016 0.0000 3.5466" Properties=species:S:1:pos:R:3 pbc="T T T"
Sm 1.2186 0.0000 1.3604
Sm 10.1614 0.0000 2.1862
Ho 4.6066 0.0000 0.4601
Ho 6.7734 0.0000 3.0865
```

Results
SG: C2/m, No. 12
magnetization: 0.00 μB per formula unit
crystal system: monoclinic

Q | DFT (GGA-PBE) results for SmHo after structural relaxation.

```
4
Lattice="3.5728 0.0000 0.0000 0.0000 5.0549 0.0000 0.0000 0.0000 7.1525" Properties=species:S:1:pos:R:3 pbc="T T T"
Sm 0.8932 1.2637 0.9063
Sm 2.6796 3.7912 6.2461
Ho 0.8932 1.2637 4.4531
Ho 2.6796 3.7912 2.6993
```

Results
SG: Pmmn, No. 59
magnetization: 0.00 μB per formula unit
crystal system: orthorhombic

Stability comparison, relative energies in eV/atom: P 0.103; Q 0.000